Record 1
First-principles (GGA-PBE) data for ThZrCdIn after structural relaxation, as listed in Alexandria.

Unit cell a=7.4400 b=7.4400 c=7.4400 alpha=90.00 beta=90.00 gamma=90.00
Closest atoms and distances in Å follow each position.
Space group F-43m (No. 216)
Inequivalent atoms, fractional coordinates:
Th: 0.0000 0.0000 0.0000 [4 per cell]  4 Cd 3.22, 4 In 3.22
Zr: 0.0000 0.0000 0.5000 [4 per cell]  4 In 3.22, 4 Cd 3.22
Cd: 0.2500 0.2500 0.7500 [4 per cell]  4 Zr 3.22, 4 Th 3.22
In: 0.2500 0.2500 0.2500 [4 per cell]  4 Zr 3.22, 4 Th 3.22

Output
- total magnetization (μB/f.u.) = 0.8
- formation enthalpy at 0 K (eV per atom) = -0.0768
- V (Å³ per atom) = 25.740
- N(E_F) (states/eV per cell) = 16.34
- electronic total energy (eV/cell) = -79.72

---

Record 2
First-principles (GGA-PBE) data for MnV3Fe2 after structural relaxation, as listed in Alexandria.

Unit cell a=2.8749 b=2.8749 c=8.6063 alpha=90.00 beta=90.00 gamma=90.00
Closest atoms and distances in Å follow each position.
Space group P4/mmm (No. 123)
Inequivalent atoms, fractional coordinates:
Mn: 0.0000 0.0000 0.0000 [1 per cell]  8 V 2.48
V: 0.5000 0.5000 0.1648 [2 per cell]  4 Mn 2.48, 4 Fe 2.49
V: 0.5000 0.5000 0.5000 [1 per cell]  8 Fe 2.49
Fe: 0.0000 0.0000 0.3327 [2 per cell]  8 V 2.49

Output
- total magnetization (μB/f.u.) = 1.3
- formation enthalpy at 0 K (eV per atom) = -0.1749
- V (Å³ per atom) = 11.855
- N(E_F) (states/eV per cell) = 5.63
- electronic total energy (eV/cell) = -54.50

---

Record 3
First-principles (GGA-PBE) data for TbNdAlAg after structural relaxation, as listed in Alexandria.

Unit cell a=7.4303 b=7.4303 c=7.4303 alpha=90.00 beta=90.00 gamma=90.00
Closest atoms and distances in Å follow each position.
Space group F-43m (No. 216)
Inequivalent atoms, fractional coordinates:
Tb: 0.0000 0.0000 0.0000 [4 per cell]  4 Ag 3.22, 4 Al 3.22
Nd: 0.0000 0.0000 0.5000 [4 per cell]  4 Al 3.22, 4 Ag 3.22
Al: 0.2500 0.2500 0.7500 [4 per cell]  4 Tb 3.22, 4 Nd 3.22
Ag: 0.2500 0.2500 0.2500 [4 per cell]  4 Nd 3.22, 4 Tb 3.22

Output
- total magnetization (μB/f.u.) = 0.0
- formation enthalpy at 0 K (eV per atom) = -0.3035
- V (Å³ per atom) = 25.639
- N(E_F) (states/eV per cell) = 17.79
- electronic total energy (eV/cell) = -68.82

---

Record 4
First-principles (GGA-PBE) data for Tl2Ag3SnBr8 after structural relaxation, as listed in Alexandria.

Unit cell a=8.5233 b=8.5233 c=23.3184 alpha=90.00 beta=90.00 gamma=120.00
Closest atoms and distances in Å follow each position.
Space group R3m (No. 160, hexagonal axes)
Inequivalent atoms, fractional coordinates:
Tl: 0.0000 0.0000 0.0000 [3 per cell]  6 Br 3.28-3.35
Tl: 0.0000 0.0000 0.3678 [3 per cell]  4 Br 2.94-3.18
Ag: 0.1746 0.3492 0.8331 [9 per cell]  4 Br 2.76-2.86
Sn: 0.0000 0.0000 0.6365 [3 per cell]  3 Br 2.71
Br: 0.0000 0.0000 0.2315 [3 per cell]  3 Ag 2.79
Br: 0.0000 0.0000 0.7914 [3 per cell]  3 Ag 2.76
Br: 0.0120 0.5060 0.7638 [9 per cell]  2 Ag 2.86, 1 Tl 2.94
Br: 0.0191 0.5095 0.2427 [9 per cell]  1 Sn 2.71

Output
- total magnetization (μB/f.u.) = 0.0
- formation energy (no corrections) (meV/atom) = -514
- V (Å³ per atom) = 34.930
- N(E_F) (states/eV per cell) = 24.84
- electronic total energy (eV/cell) = -113.61

---

Record 5
First-principles (GGA-PBE) data for Pm2Pr3Ho4 after structural relaxation, as listed in Alexandria.

Unit cell a=6.2611 b=6.2645 c=8.0753 alpha=82.66 beta=75.12 gamma=80.38
Closest atoms and distances in Å follow each position.
Space group P-1 (No. 2)
Inequivalent atoms, fractional coordinates:
Pm: 0.1678 0.3334 0.3334 [2 per cell]  7 Ho 3.59-3.64, 4 Pr 3.61-3.62, 1 Pm 3.62
Pr: 0.0575 0.1111 0.7765 [2 per cell]  6 Ho 3.60-3.64, 3 Pm 3.61-3.62, 3 Pr 3.61-3.63
Pr: 0.5000 0.0000 0.0000 [1 per cell]  6 Ho 3.60-3.64, 4 Pr 3.61-3.63, 2 Pm 3.61
Ho: 0.2782 0.5530 0.8880 [2 per cell]  4 Ho 3.59-3.62, 5 Pr 3.60-3.64, 3 Pm 3.61-3.62
Ho: 0.3901 0.7742 0.4464 [2 per cell]  4 Ho 3.57-3.63, 4 Pm 3.59-3.64, 4 Pr 3.61-3.64

Output
- total magnetization (μB/f.u.) = 0.0
- formation enthalpy at 0 K (eV per atom) = 0.0179
- V (Å³ per atom) = 33.401
- N(E_F) (states/eV per cell) = 12.45
- electronic total energy (eV/cell) = -41.99

---

Record 6
First-principles (GGA-PBE) data for NaCdB2Ir after structural relaxation, as listed in Alexandria.

Unit cell a=4.3276 b=4.3276 c=4.8595 alpha=90.00 beta=90.00 gamma=90.00
Closest atoms and distances in Å follow each position.
Space group P4/mmm (No. 123)
Inequivalent atoms, fractional coordinates:
Na: 0.0000 0.0000 0.0000 [1 per cell]  4 B 2.16
Cd: 0.5000 0.5000 0.5000 [1 per cell]  4 Ir 3.06, 8 B 3.25
B: 0.0000 0.5000 0.0000 [2 per cell]  2 Na 2.16
Ir: 0.0000 0.0000 0.5000 [1 per cell]  2 Na 2.43

Output
- total magnetization (μB/f.u.) = 0.0
- formation enthalpy at 0 K (eV per atom) = 2.4554
- V (Å³ per atom) = 18.201
- N(E_F) (states/eV per cell) = 3.74
- electronic total energy (eV/cell) = -12.17

---

Record 7
First-principles (GGA-PBE) data for PmSmDy3Th after structural relaxation, as listed in Alexandria.

Unit cell a=19.9135 b=5.6264 c=7.0242 alpha=90.00 beta=90.53 gamma=90.00
Closest atoms and distances in Å follow each position.
Space group C2/m (No. 12)
Inequivalent atoms, fractional coordinates:
Pm: 0.1462 0.0000 0.4592 [4 per cell]  1 Sm 2.98, 2 Dy 3.22-3.31
Sm: 0.1484 0.0000 0.0353 [4 per cell]  1 Pm 2.98, 2 Dy 3.19-3.31
Dy: 0.0227 0.0000 0.7512 [4 per cell]  1 Sm 3.19, 2 Th 3.21, 1 Pm 3.22
Dy: 0.1584 0.5000 0.7527 [4 per cell]  2 Sm 3.45, 2 Pm 3.49, 4 Dy 3.70-3.73
Dy: 0.2210 0.5000 0.2532 [4 per cell]  1 Th 3.30, 3 Sm 3.31-3.51, 3 Pm 3.31-3.50
Th: 0.0551 0.5000 0.2373 [4 per cell]  3 Dy 3.21-3.30

Output
- total magnetization (μB/f.u.) = 0.0
- formation enthalpy at 0 K (eV per atom) = 0.2144
- V (Å³ per atom) = 32.790
- N(E_F) (states/eV per cell) = 34.16
- electronic total energy (eV/cell) = -117.64

---

Record 8
First-principles (GGA-PBE) data for Y2ErTeO8 after structural relaxation, as listed in Alexandria.

Unit cell a=7.0639 b=7.1955 c=6.8401 alpha=90.00 beta=90.00 gamma=90.00
Closest atoms and distances in Å follow each position.
Space group Cmmm (No. 65)
Inequivalent atoms, fractional coordinates:
Y: 0.0000 0.0000 0.2494 [4 per cell]  6 O 2.19-2.33
Er: 0.0000 0.5000 0.5000 [2 per cell]  6 O 2.16-2.35
Te: 0.0000 0.5000 0.0000 [2 per cell]  6 O 1.94-1.96
O: 0.0000 0.3186 0.2140 [8 per cell]  1 Te 1.96
O: 0.1937 0.0000 0.5000 [4 per cell]  1 Er 2.16, 2 Y 2.19
O: 0.2249 0.0000 0.0000 [4 per cell]  1 Te 1.94

Output
- total magnetization (μB/f.u.) = 0.8
- formation energy (no corrections) (meV/atom) = -2506
- V (Å³ per atom) = 14.486
- N(E_F) (states/eV per cell) = 15.91
- electronic total energy (eV/cell) = -180.75

---

Record 9
First-principles (GGA-PBE) data for K5NaI8 after structural relaxation, as listed in Alexandria.

Unit cell a=10.6705 b=10.6705 c=10.5796 alpha=90.00 beta=90.00 gamma=90.00
Closest atoms and distances in Å follow each position.
Space group I-4 (No. 82)
Inequivalent atoms, fractional coordinates:
K: 0.0000 0.0000 0.0000 [2 per cell]  8 I 3.78-3.93
K: 0.1223 0.7747 0.6288 [8 per cell]  7 I 3.48-3.79
Na: 0.0000 0.5000 0.2500 [2 per cell]  8 I 3.42-3.62
I: 0.0554 0.6404 0.9439 [8 per cell]  1 I 3.22
I: 0.0830 0.8077 0.2886 [8 per cell]  1 Na 3.42, 5 K 3.48-3.79

Output
- total magnetization (μB/f.u.) = 1.9
- formation energy (no corrections) (meV/atom) = -1118
- V (Å³ per atom) = 43.021
- N(E_F) (states/eV per cell) = 1.67
- electronic total energy (eV/cell) = -69.71